RhBr: relaxed, PBE-GGA.

abc: 3.1230 5.9293 4.1613
angles: 90.00 90.00 90.00
Last column: nearest neighbours and their distance in Å.
Fractional coordinates of all 4 atoms:
Rh (0.0000, 0.0000, 0.0000)  4 Br 2.60
Rh (0.5000, 0.5000, 0.0000)  4 Br 2.60
Br (0.0000, 0.5000, 0.5000)  4 Rh 2.60
Br (0.5000, 0.0000, 0.5000)  4 Rh 2.60

Results
Fermi-level density of states = 3.4 states/eV/f.u.
Formation energy from raw total energies = 1.2 eV per formula unit
M_tot = 0.110 μB/atom
Total energy = -3.91 eV per atom

***

RhBr: relaxed, PBE-GGA.

abc: 7.3798 7.1873 5.3405
angles: 70.43 66.58 42.99
Last column: nearest neighbours and their distance in Å.
Fractional coordinates of all 8 atoms:
Rh (0.0232, 0.0232, 0.2268)  3 Rh 2.54-2.73, 4 Br 2.59-2.62
Rh (0.2268, 0.2268, 0.0232)  3 Rh 2.54-2.73, 4 Br 2.59-2.62
Rh (0.7732, 0.7732, 0.9768)  3 Rh 2.54-2.73, 4 Br 2.59-2.62
Rh (0.9768, 0.9768, 0.7732)  3 Rh 2.54-2.73, 4 Br 2.59-2.62
Br (0.1644, 0.5856, 0.1644)  4 Rh 2.59-2.62
Br (0.4144, 0.8356, 0.4144)  4 Rh 2.59-2.62
Br (0.5856, 0.1644, 0.5856)  4 Rh 2.59-2.62
Br (0.8356, 0.4144, 0.8356)  4 Rh 2.59-2.62

Results
Fermi-level density of states = 2.8 states/eV/f.u.
Formation energy from raw total energies = 0.7 eV per formula unit
M_tot = 0.000 μB/atom
Total energy = -4.16 eV per atom

***

RhBr: relaxed, PBE-GGA.

abc: 5.0121 8.1190 3.9309
angles: 90.00 90.00 90.00
Last column: nearest neighbours and their distance in Å.
Fractional coordinates of all 8 atoms:
Rh (0.0000, 0.1011, 0.2500)  2 Rh 2.56, 4 Br 2.57-2.69
Rh (0.0000, 0.8989, 0.7500)  2 Rh 2.56, 4 Br 2.57-2.69
Rh (0.5000, 0.3989, 0.7500)  2 Rh 2.56, 4 Br 2.57-2.69
Rh (0.5000, 0.6011, 0.2500)  2 Rh 2.56, 4 Br 2.57-2.69
Br (0.0000, 0.3269, 0.7500)  4 Rh 2.57-2.69
Br (0.0000, 0.6731, 0.2500)  4 Rh 2.57-2.69
Br (0.5000, 0.1731, 0.2500)  4 Rh 2.57-2.69
Br (0.5000, 0.8269, 0.7500)  4 Rh 2.57-2.69

Results
Fermi-level density of states = 2.2 states/eV/f.u.
Formation energy from raw total energies = 0.4 eV per formula unit
M_tot = 0.000 μB/atom
Total energy = -4.30 eV per atom

***

RhBr: relaxed, PBE-GGA.

abc: 3.2042 3.2042 8.0675
angles: 90.00 90.00 90.00
Last column: nearest neighbours and their distance in Å.
Fractional coordinates of all 4 atoms:
Rh (0.2500, 0.2500, 0.0896)  4 Rh 2.69, 4 Br 2.78
Rh (0.7500, 0.7500, 0.9104)  4 Rh 2.69, 4 Br 2.78
Br (0.2500, 0.2500, 0.7110)  5 Rh 2.78-3.05
Br (0.7500, 0.7500, 0.2890)  5 Rh 2.78-3.05

Results
Fermi-level density of states = 0.7 states/eV/f.u.
Formation energy from raw total energies = 0.6 eV per formula unit
M_tot = 0.000 μB/atom
Total energy = -4.22 eV per atom

***

RhBr: relaxed, PBE-GGA.

abc: 7.4569 7.4569 3.4948
angles: 90.00 90.00 90.00
Last column: nearest neighbours and their distance in Å.
Fractional coordinates of all 8 atoms:
Rh (0.1188, 0.1188, 0.0000)  1 Rh 2.51, 4 Br 2.51-2.54
Rh (0.3812, 0.6188, 0.5000)  1 Rh 2.51, 4 Br 2.51-2.54
Rh (0.6188, 0.3812, 0.5000)  1 Rh 2.51, 4 Br 2.51-2.54
Rh (0.8812, 0.8812, 0.0000)  1 Rh 2.51, 4 Br 2.51-2.54
Br (0.2100, 0.7900, 0.0000)  4 Rh 2.51-2.54
Br (0.2900, 0.2900, 0.5000)  4 Rh 2.51-2.54
Br (0.7100, 0.7100, 0.5000)  4 Rh 2.51-2.54
Br (0.7900, 0.2100, 0.0000)  4 Rh 2.51-2.54

Results
Fermi-level density of states = 1.1 states/eV/f.u.
Formation energy from raw total energies = 0.6 eV per formula unit
M_tot = 0.000 μB/atom
Total energy = -4.19 eV per atom

***

RhBr5: relaxed, PBE-GGA.

abc: 3.0991 3.0991 18.7918
angles: 90.00 90.00 90.00
Last column: nearest neighbours and their distance in Å.
Fractional coordinates of all 6 atoms:
Rh (0.0000, 0.0000, 0.0000)  8 Br 2.73
Br (0.0000, 0.0000, 0.2803)  4 Br 3.10
Br (0.0000, 0.0000, 0.7197)  4 Br 3.10
Br (0.5000, 0.5000, 0.0870)  4 Rh 2.73
Br (0.5000, 0.5000, 0.5000)  4 Br 3.10
Br (0.5000, 0.5000, 0.9130)  4 Rh 2.73

Results
Fermi-level density of states = 6.6 states/eV/f.u.
Formation energy from raw total energies = 2.2 eV per formula unit
M_tot = 0.124 μB/atom
E above lowest polymorph = 271.3 meV per atom
Total energy = -2.25 eV per atom

***

> What is the Fermi-level density of states in the third record?

2.2 states/eV/f.u.